Entry from the Alexandria database: an optimized crystal structure of RbAlI2O (PBE).

```
RbAlI2O
1.0
6.880 0.000 0.000
0.000 6.880 0.000
0.000 0.000 4.458
Rb I Al O
1 2 1 1
direct
0.000 0.000 0.000
0.500 0.000 0.000
0.000 0.500 0.000
0.500 0.500 0.500
0.000 0.000 0.500
```

Computed properties:
SG	P4/mmm
distance to the lowest polymorph of the same formula	1.6029	eV/atom
ΔE_f (raw)	0.317	eV per atom
magnetic moment	1.30	μB per formula unit
N(E_F)	6.5	states/eV per cell